An optimized crystal structure of BeHgPt3, computed with PBE.

abc: 5.078 5.078 8.037
angles: 71.58 71.58 90.00
Fractional positions:
Pt1 0.125 0.874 0.749
Pt2 0.301 0.301 0.398
Hg1 0.920 0.420 0.160
Hg2 0.580 0.080 0.840
Pt3 0.126 0.875 0.251
Pt4 0.624 0.875 0.251
Be1 0.000 0.000 0.000
Be2 0.250 0.750 0.500
Pt5 0.699 0.699 0.602
Pt6 0.125 0.376 0.749

Properties
Energy above the lowest structure with this stoichiometry (eV per atom): 0.4521
Total moment (μB per atom): 0.00
VASP energy (eV per atom): -4.282
Theoretical density (g/cm3): 14.2
Fermi-level density of states (states/eV/f.u.): 4.04
Energy relative to the elements (eV per atom): 0.148